*1*
5
Lattice="4.760 0.000 0.000 0.000 4.760 0.000 0.000 0.000 4.760" Properties=species:S:1:pos:R:3 comment="VAgIr3 (PBE, relaxed)" total_magnetization_mub_per_fu=0.436 pbc="T T T"
V 0.000 0.000 0.000
Ag 2.380 2.380 2.380
Ir 0.000 2.380 2.380
Ir 2.380 0.000 2.380
Ir 2.380 2.380 0.000

*2*
5
Lattice="4.534 0.000 0.000 0.000 4.534 0.000 0.000 0.000 4.534" Properties=species:S:1:pos:R:3 comment="VAgIr3 (PBE, relaxed)" total_magnetization_mub_per_fu=0.000 pbc="T T T"
V 0.000 0.000 0.000
Ag 2.267 2.267 2.267
Ir 0.000 0.000 2.267
Ir 0.000 2.267 0.000
Ir 2.267 0.000 0.000

It is *2* that is the most stable of them.

*1*
8
Lattice="-3.516 3.516 2.678 3.516 -3.516 2.678 3.516 3.516 -2.678" Properties=species:S:1:pos:R:3 comment="VAgIr2 (PBE, relaxed)" total_magnetization_mub_per_fu=0.000 pbc="T T T"
V 0.000 0.000 0.000
V 0.000 3.516 1.339
Ag 3.516 0.000 1.339
Ag 0.000 0.000 2.678
Ir 1.758 1.428 -0.670
Ir 2.088 -1.758 3.348
Ir 1.758 2.088 2.009
Ir 1.428 5.275 0.670

*2*
4
Lattice="0.000 3.104 3.104 3.104 0.000 3.104 3.104 3.104 0.000" Properties=species:S:1:pos:R:3 comment="VAgIr2 (PBE, relaxed)" total_magnetization_mub_per_fu=0.000 pbc="T T T"
V 0.000 0.000 0.000
Ag 3.104 3.104 3.104
Ir 1.552 1.552 1.552
Ir 4.656 4.656 4.656

It is *2* that is the most stable of them.

*1*
8
Lattice="-3.719 3.719 2.583 3.719 -3.719 2.583 3.719 3.719 -2.583" Properties=species:S:1:pos:R:3 comment="VAg2Ir (PBE, relaxed)" total_magnetization_mub_per_fu=2.393 pbc="T T T"
V 0.000 0.000 0.000
V 0.000 3.719 1.292
Ag 1.860 1.870 -0.646
Ag 5.569 1.860 0.646
Ag 1.860 1.849 1.937
Ag -1.849 1.860 3.229
Ir 3.719 0.000 1.292
Ir 0.000 0.000 2.583

*2*
4
Lattice="0.000 3.191 3.191 3.191 0.000 3.191 3.191 3.191 0.000" Properties=species:S:1:pos:R:3 comment="VAg2Ir (PBE, relaxed)" total_magnetization_mub_per_fu=2.362 pbc="T T T"
V 0.000 0.000 0.000
Ag 1.595 1.595 1.595
Ag 4.786 4.786 4.786
Ir 3.191 3.191 3.191

It is *2* that is the most stable of them.

*1*
3
Lattice="2.796 0.000 0.000 -1.398 2.422 0.000 0.000 0.000 7.154" Properties=species:S:1:pos:R:3 comment="AgIrW (PBE, relaxed)" total_magnetization_mub_per_fu=0.000 pbc="T T T"
Ag 0.000 0.000 0.000
Ir 1.398 0.807 2.504
W 0.000 1.614 4.628

*2*
3
Lattice="-1.423 1.423 5.995 1.423 -1.423 5.995 1.423 1.423 -5.995" Properties=species:S:1:pos:R:3 comment="AgIrW (PBE, relaxed)" total_magnetization_mub_per_fu=0.000 pbc="T T T"
Ag 0.000 0.000 0.000
Ir 0.000 0.000 3.849
W 0.000 0.000 8.135

It is *1* that is the most stable of them.

*1*
3
Lattice="0.000 2.317 7.243 1.462 0.000 7.243 1.462 2.317 0.000" Properties=species:S:1:pos:R:3 comment="AgIrW (PBE, relaxed)" total_magnetization_mub_per_fu=0.000 pbc="T T T"
Ag 0.000 0.000 0.000
Ir 1.462 2.317 4.717
W 1.462 2.317 9.777

*2*
3
Lattice="0.000 3.042 3.042 3.042 0.000 3.042 3.042 3.042 0.000" Properties=species:S:1:pos:R:3 comment="AgIrW (PBE, relaxed)" total_magnetization_mub_per_fu=0.005 pbc="T T T"
Ag 0.000 0.000 0.000
Ir 4.564 4.564 4.564
W 3.042 3.042 3.042

It is *1* that is the most stable of them.

*1*
5
Lattice="-1.778 1.778 7.133 1.778 -1.778 7.133 1.778 1.778 -7.133" Properties=species:S:1:pos:R:3 comment="Ag2Ir2W (PBE, relaxed)" total_magnetization_mub_per_fu=1.850 pbc="T T T"
Ag 0.000 0.000 1.390
Ag 0.000 0.000 12.876
Ir 1.778 0.000 3.566
Ir 0.000 1.778 3.566
W 0.000 0.000 7.133

*2*
10
Lattice="7.534 0.000 0.000 0.000 7.534 0.000 0.000 0.000 2.884" Properties=species:S:1:pos:R:3 comment="Ag2Ir2W (PBE, relaxed)" total_magnetization_mub_per_fu=0.000 pbc="T T T"
Ag 0.944 2.823 0.000
Ag 2.823 6.590 0.000
Ag 4.711 0.944 0.000
Ag 6.590 4.711 0.000
Ir 1.314 5.081 1.442
Ir 2.453 1.314 1.442
Ir 5.081 6.220 1.442
Ir 6.220 2.453 1.442
W 0.000 0.000 0.000
W 3.767 3.767 0.000

It is *2* that is the most stable of them.